KAg2O2 | PBE | optimized geometry

Volume (Å³/cell): 215.2
Formation energy from raw total energies (eV/atom): -0.1833

Lattice parameters (Å, degrees): 5.8832 5.8832 7.4811 113.15 113.15 90.00
Closest atoms and distances in Å follow each position.
Fractional positions:
K (0.0274, 0.0274, 0.0548)  2 O 2.66
K (0.2774, 0.7774, 0.5548)  2 O 2.66
Ag (0.6234, 0.8798, 0.2468)  3 O 2.12-2.25
Ag (0.6170, 0.3734, 0.7468)  3 O 2.12-2.25
Ag (0.1298, 0.3734, 0.7468)  3 O 2.12-2.25
Ag (0.6234, 0.3670, 0.2468)  3 O 2.12-2.25
O (0.4532, 0.6946, 0.9065)  3 Ag 2.12-2.25
O (0.4618, 0.2032, 0.4065)  3 Ag 2.12-2.25
O (0.9446, 0.2032, 0.4065)  3 Ag 2.12-2.25
O (0.4532, 0.2118, 0.9065)  3 Ag 2.12-2.25